NaSrNb after structural relaxation, computed with GGA-PBE.

It has space group P1 (No. 1), with a = 3.4680 Å, b = 6.1024 Å, c = 9.7149 Å, α = 71.77°, β = 89.87° and γ = 89.99°. The distinct sites, in fractional coordinates, are Na at (0.0000, 0.0000, 0.0000), Na at (0.0018, 0.3908, 0.2180), Sr at (0.5005, 0.5850, 0.8294), Sr at (0.5015, 0.2161, 0.5658), Nb at (0.0012, 0.7424, 0.5130) and Nb at (0.5002, 0.8421, 0.3142).

The calculation puts the formation energy at 0.569 eV/atom. As for the total energy: -0.27840 Ry/atom. As for the density of states at the Fermi level: 4.2 states/eV per cell.